Computed, not measured: a geometry-optimized Li2MnTlF8 structure at the PBE+U level of DFT.

## Properties
As for the calculated density: 4.57 g/cm3. The density of states at the Fermi level comes out at 0.000 states/eV/atom. The total energy is -57.0 eV for the cell shown. The volume is 12.88 Å³ per atom.

```
Li2MnTlF8
1.0
-3.3214 3.3214 3.5034
3.3214 -3.3214 3.5034
3.3214 3.3214 -3.5034
Li Mn Tl F
2 1 1 8
direct
0.0000 0.0000 0.0000
0.7500 0.2500 0.5000
0.2500 0.7500 0.5000
0.5000 0.5000 0.0000
0.0186 0.8033 0.2153
0.1302 0.4455 0.6847
0.1967 0.4120 0.2153
0.1967 0.9814 0.7847
0.5545 0.2393 0.6847
0.5545 0.8698 0.3153
0.5880 0.8033 0.7847
0.7607 0.4455 0.3153
```